1.
An optimized crystal structure of TiMnNiBi2, computed with PBE.

Lattice parameters (Å, degrees): 5.0414 5.0414 4.3286 90.00 90.00 90.00
Closest atoms and distances in Å follow each position.
Fractional coordinates of all 5 atoms:
Ti  0.0000  0.0000  0.0000  8 Bi 3.32, 4 Ni 3.56
Mn  0.5000  0.5000  0.5000  2 Ni 2.16
Ni  0.5000  0.5000  0.0000  2 Mn 2.16
Bi  0.0000  0.5000  0.5000  2 Mn 2.52
Bi  0.5000  0.0000  0.5000  2 Mn 2.52

* calculated formation energy: 0.8862 eV/atom
* Fermi-level density of states: 7.8 states/eV per cell
* total energy: -5.235 eV per atom

2.
An optimized crystal structure of MnVNi2Bi, computed with PBE.

Lattice parameters (Å, degrees): 4.3995 4.3995 5.0955 90.00 90.00 90.00
Closest atoms and distances in Å follow each position.
Fractional coordinates of all 5 atoms:
Mn  0.0000  0.0000  0.0000  4 Bi 3.11, 8 Ni 3.37
V  0.5000  0.5000  0.5000  4 Ni 2.20
Ni  0.0000  0.5000  0.5000  2 V 2.20
Ni  0.5000  0.0000  0.5000  2 V 2.20
Bi  0.5000  0.5000  0.0000  2 V 2.55

* calculated formation energy: 1.0252 eV/atom
* Fermi-level density of states: 4.1 states/eV per cell
* total energy: -5.721 eV per atom